SrLiSn2Pd (PBE, relaxed); ΔE to the lowest computed polymorph = 160.9 meV/atom; space-group type = P4/mmm, No. 123; DOS at the Fermi energy = 1.694 states/eV per cell
1.0
-1.388 -4.567 -2.117
4.348 -2.194 1.882
-2.394 -1.192 4.142
Sr Sn Pd Li
1 2 1 1
direct
0.500 0.500 0.500
0.000 0.500 0.000
0.500 0.000 0.000
0.000 0.000 0.000
0.000 0.000 0.500